Record 1
VASP calculation (PBE) on a geometry-optimized TcAgTe2N structure.

Cell and atoms, written as CIF:
```
data_TcAgTe2N
_chemical_formula_sum 'Tc1 Ag1 Te2 N1'
_space_group_name_H-M_alt 'P 1'
_space_group_IT_number 1
_cell_length_a 5.5289
_cell_length_b 5.5289
_cell_length_c 3.9115
_cell_angle_alpha 90.00
_cell_angle_beta 90.00
_cell_angle_gamma 90.00
loop_
_space_group_symop_operation_xyz
'x,y,z'
loop_
_atom_site_label
_atom_site_fract_x
_atom_site_fract_y
_atom_site_fract_z
Tc1 0.5000 0.5000 0.5000
N1 0.0000 0.0000 0.5000
Te1 0.5000 0.0000 0.0000
Te2 0.0000 0.5000 0.0000
Ag1 0.0000 0.0000 0.0000
```

Properties
Total moment (μB per formula unit): 5.162
Total DFT energy (no corrections) (eV for the cell shown): -20.1
Energy relative to the elements, uncorrected (eV per atom): 1.549
SG: No. 123


Record 2
VASP calculation (PBE) on a geometry-optimized MnNiIr2 structure.

Cell and atoms, written as CIF:
```
data_MnNiIr2
_chemical_formula_sum 'Mn1 Ni1 Ir2'
_space_group_name_H-M_alt 'P 1'
_space_group_IT_number 1
_cell_length_a 5.0283
_cell_length_b 5.0283
_cell_length_c 5.0283
_cell_angle_alpha 146.82
_cell_angle_beta 129.69
_cell_angle_gamma 61.60
loop_
_space_group_symop_operation_xyz
'x,y,z'
loop_
_atom_site_label
_atom_site_fract_x
_atom_site_fract_y
_atom_site_fract_z
Ir1 0.7379 0.2379 0.5000
Ir2 0.0131 0.0131 0.0000
Mn1 0.4874 0.4874 0.0000
Ni1 0.2617 0.7617 0.5000
```

Properties
Total moment (μB per formula unit): 2.920
ΔE_f (eV/f.u.): 0.23
Total DFT energy (no corrections) (eV for the cell shown): -32.4
SG: No. 44


Record 3
VASP calculation (PBE) on a geometry-optimized La2Tb3Nd4 structure.

Cell and atoms, written as CIF:
```
data_La2Tb3Nd4
_chemical_formula_sum 'La2 Tb3 Nd4'
_space_group_name_H-M_alt 'P 1'
_space_group_IT_number 1
_cell_length_a 3.6558
_cell_length_b 3.6558
_cell_length_c 27.3053
_cell_angle_alpha 90.00
_cell_angle_beta 90.00
_cell_angle_gamma 120.00
loop_
_space_group_symop_operation_xyz
'x,y,z'
loop_
_atom_site_label
_atom_site_fract_x
_atom_site_fract_y
_atom_site_fract_z
La1 0.6667 0.3333 0.8727
La2 0.6667 0.3333 0.0889
Nd1 0.6667 0.3333 0.2208
Nd2 0.0000 0.0000 0.7580
Nd3 0.6667 0.3333 0.4332
Nd4 0.0000 0.0000 0.5444
Tb1 0.0000 0.0000 0.9825
Tb2 0.0000 0.0000 0.3248
Tb3 0.6667 0.3333 0.6518
```

Properties
Total moment (μB per formula unit): 0.000
ΔE_f (eV/f.u.): 0.50
Total DFT energy (no corrections) (eV for the cell shown): -42.3
SG: No. 156


Record 4
VASP calculation (PBE) on a geometry-optimized TlFeP4 structure.

Cell and atoms, written as CIF:
```
data_TlFeP4
_chemical_formula_sum 'Tl1 Fe1 P4'
_space_group_name_H-M_alt 'P 1'
_space_group_IT_number 1
_cell_length_a 5.6450
_cell_length_b 5.6450
_cell_length_c 5.6450
_cell_angle_alpha 60.00
_cell_angle_beta 60.00
_cell_angle_gamma 60.00
loop_
_space_group_symop_operation_xyz
'x,y,z'
loop_
_atom_site_label
_atom_site_fract_x
_atom_site_fract_y
_atom_site_fract_z
P1 0.3503 0.3503 0.9490
P2 0.3503 0.9490 0.3503
P3 0.3503 0.3503 0.3503
P4 0.9490 0.3503 0.3503
Tl1 0.7500 0.7500 0.7500
Fe1 0.0000 0.0000 0.0000
```

Properties
Total moment (μB per formula unit): 3.186
ΔE_f (eV/f.u.): 4.45
Total DFT energy (no corrections) (eV for the cell shown): -28.0
SG: No. 216


Among the records above, which one has the lowest total DFT energy (no corrections)? La2Tb3Nd4


Which formula does entry 3 have? La2Tb3Nd4


Please write out number 1 again, unchanged.
VASP calculation (PBE) on a geometry-optimized TcAgTe2N structure.

Cell and atoms, written as CIF:
```
data_TcAgTe2N
_chemical_formula_sum 'Tc1 Ag1 Te2 N1'
_space_group_name_H-M_alt 'P 1'
_space_group_IT_number 1
_cell_length_a 5.5289
_cell_length_b 5.5289
_cell_length_c 3.9115
_cell_angle_alpha 90.00
_cell_angle_beta 90.00
_cell_angle_gamma 90.00
loop_
_space_group_symop_operation_xyz
'x,y,z'
loop_
_atom_site_label
_atom_site_fract_x
_atom_site_fract_y
_atom_site_fract_z
Tc1 0.5000 0.5000 0.5000
N1 0.0000 0.0000 0.5000
Te1 0.5000 0.0000 0.0000
Te2 0.0000 0.5000 0.0000
Ag1 0.0000 0.0000 0.0000
```

Properties
Total moment (μB per formula unit): 5.162
Total DFT energy (no corrections) (eV for the cell shown): -20.1
Energy relative to the elements, uncorrected (eV per atom): 1.549
SG: No. 123